## ZnFeMo12S16 (PBE)

Data for an optimized crystal structure of ZnFeMo12S16.

a b c (Å): 9.4731 9.4731 21.0924
angles (deg): 90.00 90.00 120.00
With the nearest neighbours (Å) after each atom.
Space group R-3 (No. 148, hexagonal axes)
Unique sites:
Zn  0.0000  0.0000  0.0000  2 S 2.26
Fe  0.0000  0.0000  0.5000  2 S 2.25
Mo  0.0178  0.8434  0.8043  5 S 2.42-2.52
Mo  0.0184  0.8440  0.3039  5 S 2.43-2.50
S  0.0000  0.0000  0.1074  1 Zn 2.26, 3 Mo 2.44
S  0.0000  0.0000  0.3932  1 Fe 2.25, 3 Mo 2.45
S  0.0146  0.6258  0.8724  4 Mo 2.43-2.52
S  0.0172  0.6291  0.3730  4 Mo 2.42-2.50

V (A^3/atom): 18.2
Final energy (eV/atom): -7.48
ΔE_f (raw) (eV per atom): -0.619
Mass density (g/cm3): 5.4


## Pm3InRh3 (PBE)

Data for an optimized crystal structure of Pm3InRh3.

a b c (Å): 4.4213 10.5091 13.7304
angles (deg): 90.00 90.00 90.00
With the nearest neighbours (Å) after each atom.
Space group Cmcm (No. 63)
Unique sites:
Pm  0.0000  0.0228  0.2500  5 Rh 2.85-3.17
Pm  0.0000  0.3018  0.1066  6 Rh 2.96-3.12
In  0.0000  0.0000  0.0000  4 Rh 2.73
Rh  0.0000  0.2483  0.7500  2 Rh 2.73, 5 Pm 2.85-3.01
Rh  0.0000  0.4072  0.5932  1 Rh 2.73, 2 In 2.73, 1 Pm 2.96

V (A^3/atom): 22.8
Final energy (eV/atom): -6.29
ΔH_f (0 K) (eV per atom): -0.708
E above lowest polymorph (meV per atom): 0
Mass density (g/cm3): 8.9


## BeIn (PBE)

Data for an optimized crystal structure of BeIn.

a b c (Å): 5.1893 5.1893 5.1893
angles (deg): 90.00 90.00 90.00
With the nearest neighbours (Å) after each atom.
Space group P2_13 (No. 198)
Unique sites:
Be  0.1031  0.3969  0.6031  7 In 2.72-2.85
In  0.0894  0.9106  0.4106  7 Be 2.72-2.85

V (A^3/atom): 17.5
Final energy (eV/atom): -2.60
ΔH_f (0 K) (eV per atom): 0.635
E above lowest polymorph (meV per atom): 349
Mass density (g/cm3): 5.9


## Li2CdBr4 (PBE)

Data for an optimized crystal structure of Li2CdBr4.

a b c (Å): 6.0273 6.0273 5.8487
angles (deg): 90.00 90.00 90.00
With the nearest neighbours (Å) after each atom.
Space group P-42m (No. 111)
Unique sites:
Li  0.0000  0.5000  0.0000  4 Br 2.56
Cd  0.0000  0.0000  0.5000  4 Br 2.65
Br  0.2560  0.2560  0.7571  2 Li 2.56, 1 Cd 2.65

V (A^3/atom): 30.4
Final energy (eV/atom): -2.87
ΔE_f (raw) (eV per atom): -1.237
Mass density (g/cm3): 3.5


## In2IrOs (PBE)

Data for an optimized crystal structure of In2IrOs.

a b c (Å): 2.9319 2.9319 8.6015
angles (deg): 90.00 90.00 90.00
With the nearest neighbours (Å) after each atom.
Space group P4mm (No. 99)
Unique sites:
In  0.0000  0.0000  0.0000  4 In 2.93, 4 Os 2.95
In  0.5000  0.5000  0.3163  4 In 2.93, 4 Ir 2.98
Ir  0.0000  0.0000  0.5651  4 Os 2.65, 4 Ir 2.93
Os  0.5000  0.5000  0.7564  4 Ir 2.65, 4 Os 2.93, 4 In 2.95

V (A^3/atom): 18.5
Final energy (eV/atom): -6.10
ΔH_f (0 K) (eV per atom): 0.291
Mass density (g/cm3): 13.7


## Y5Tc4 (PBE)

Data for an optimized crystal structure of Y5Tc4.

a b c (Å): 10.6727 10.6727 3.3942
angles (deg): 90.00 90.00 90.00
With the nearest neighbours (Å) after each atom.
Space group I4/mmm (No. 139)
Unique sites:
Y  0.0000  0.0000  0.0000  10 Y 3.07-3.39
Y  0.1691  0.1691  0.5000  4 Y 2.97-3.07, 4 Tc 3.22
Tc  0.0000  0.3617  0.0000  5 Tc 2.69-2.95

V (A^3/atom): 21.5
Final energy (eV/atom): -7.79
ΔH_f (0 K) (eV per atom): 0.410
E above lowest polymorph (meV per atom): 157
Mass density (g/cm3): 7.2


## NpH2Pb (PBE)

Data for an optimized crystal structure of NpH2Pb.

a b c (Å): 3.6102 3.6102 16.6102
angles (deg): 90.00 90.00 120.00
With the nearest neighbours (Å) after each atom.
Space group R-3m (No. 166, hexagonal axes)
Unique sites:
Np  0.0000  0.0000  0.0000  6 H 2.15
H  0.0000  0.0000  0.3007  3 Np 2.15, 3 H 2.35
Pb  0.0000  0.0000  0.5000  8 H 3.05-3.31

V (A^3/atom): 15.6
Final energy (eV/atom): -5.90
Mass density (g/cm3): 11.9


## ZrAlGe2 (PBE)

Data for an optimized crystal structure of ZrAlGe2.

a b c (Å): 3.8940 3.8940 9.4575
angles (deg): 90.00 90.00 90.00
With the nearest neighbours (Å) after each atom.
Space group P4/nmm (No. 129, origin choice 2)
Unique sites:
Zr  0.2500  0.2500  0.2346  8 Ge 2.79-2.95
Al  0.2500  0.7500  0.5000  4 Al 2.75, 4 Ge 2.82
Ge  0.2500  0.2500  0.7150  4 Zr 2.79, 4 Al 2.82
Ge  0.2500  0.7500  0.0000  4 Ge 2.75, 4 Zr 2.95

V (A^3/atom): 17.9
Final energy (eV/atom): -5.74
ΔH_f (0 K) (eV per atom): -0.361
Mass density (g/cm3): 6.1